Entry 1:
Computed, not measured: Ho3Pd7 after structural relaxation at the PBE level of DFT.

a = 15.3095 Å, b = 4.2089 Å, c = 5.8229 Å
α = 90.00°, β = 104.43°, γ = 90.00°
Space group C2/m (No. 12)
Symmetry-distinct sites (fractional):
Ho1 0.0000 0.0000 0.0000
Ho2 0.1880 0.0000 0.6325
Pd1 0.0000 0.0000 0.5000
Pd2 0.0980 0.5000 0.8148
Pd3 0.1009 0.5000 0.3175
Pd4 0.1997 0.0000 0.1250

M_tot: 0.00 μB per formula unit
calculated formation energy: -904 meV/atom

***

Entry 2:
Computed, not measured: Ho5Pd2 after structural relaxation at the PBE level of DFT.

a = 16.4361 Å, b = 6.5250 Å, c = 7.0173 Å
α = 90.00°, β = 96.45°, γ = 90.00°
Space group C2/c (No. 15)
Symmetry-distinct sites (fractional):
Ho1 0.0000 0.0673 0.2500
Ho2 0.0951 0.3853 0.9298
Ho3 0.2206 0.0666 0.3082
Pd1 0.1108 0.2036 0.5675

M_tot: 0.00 μB per formula unit
calculated formation energy: -536 meV/atom

***

Entry 3:
Computed, not measured: Ho3Pd8 after structural relaxation at the PBE level of DFT.

a = 9.2600 Å, b = 9.2600 Å, c = 9.2688 Å
α = 90.00°, β = 90.00°, γ = 120.00°
Space group R-3 (No. 148, hexagonal axes)
Symmetry-distinct sites (fractional):
Ho1 0.0000 0.5000 0.0000
Pd1 0.0000 0.0000 0.3598
Pd2 0.0453 0.1987 0.8860

M_tot: 0.00 μB per formula unit
calculated formation energy: -427 meV/atom

***

Entry 4:
Computed, not measured: Pm2Ho5Pd4 after structural relaxation at the PBE level of DFT.

a = 24.7358 Å, b = 3.6158 Å, c = 6.7899 Å
α = 90.00°, β = 93.79°, γ = 90.00°
Space group C2/m (No. 12)
Symmetry-distinct sites (fractional):
Pm1 0.0933 0.0000 0.1792
Ho1 0.0000 0.5000 0.5000
Ho2 0.1331 0.0000 0.6878
Ho3 0.2373 0.0000 0.2522
Pd1 0.0258 0.0000 0.8136
Pd2 0.1733 0.5000 0.9947

M_tot: 0.00 μB per formula unit
calculated formation energy: -404 meV/atom

***

Entry 5:
Computed, not measured: Pm2Ho3Pd2 after structural relaxation at the PBE level of DFT.

a = 12.5671 Å, b = 3.7261 Å, c = 9.1296 Å
α = 90.00°, β = 117.59°, γ = 90.00°
Space group C2/m (No. 12)
Symmetry-distinct sites (fractional):
Pm1 0.1546 0.0000 0.3129
Ho1 0.0000 0.5000 0.5000
Ho2 0.1151 0.5000 0.9418
Pd1 0.1651 0.0000 0.7392

M_tot: 0.00 μB per formula unit
calculated formation energy: -523 meV/atom

***

Entry 6:
Computed, not measured: PmHo2Pd2 after structural relaxation at the PBE level of DFT.

a = 8.5427 Å, b = 4.9374 Å, c = 6.1049 Å
α = 90.00°, β = 90.09°, γ = 90.00°
Space group C2/m (No. 12)
Symmetry-distinct sites (fractional):
Pm1 0.0000 0.0000 0.0000
Ho1 0.1667 0.5000 0.3362
Pd1 0.1667 0.5000 0.8091

M_tot: 0.00 μB per formula unit
calculated formation energy: -634 meV/atom

***

Entry 7:
Computed, not measured: PmHo3Pd2 after structural relaxation at the PBE level of DFT.

a = 15.4544 Å, b = 5.1659 Å, c = 8.2950 Å
α = 90.00°, β = 111.02°, γ = 90.00°
Space group C2/m (No. 12)
Symmetry-distinct sites (fractional):
Pm1 0.1444 0.0000 0.2268
Ho1 0.0651 0.0000 0.7425
Ho2 0.1244 0.5000 0.5149
Ho3 0.1861 0.5000 0.9965
Pd1 0.0049 0.5000 0.1707
Pd2 0.2187 0.0000 0.6266

M_tot: 0.00 μB per formula unit
calculated formation energy: -507 meV/atom

***

Entry 8:
Computed, not measured: PmHoPd2 after structural relaxation at the PBE level of DFT.

a = 4.5784 Å, b = 3.7984 Å, c = 10.6603 Å
α = 90.00°, β = 90.00°, γ = 90.00°
Space group Amm2 (No. 38)
Symmetry-distinct sites (fractional):
Pm1 0.0000 0.0000 0.0000
Ho1 0.5000 0.0000 0.7258
Pd1 0.0000 0.0000 0.2744
Pd2 0.5000 0.0000 0.4463

M_tot: 0.00 μB per formula unit
calculated formation energy: -876 meV/atom

***

Question: Number 4 is which compound?
Answer: Pm2Ho5Pd4

***

Repeat the sixth record exactly.
Computed, not measured: PmHo2Pd2 after structural relaxation at the PBE level of DFT.

a = 8.5427 Å, b = 4.9374 Å, c = 6.1049 Å
α = 90.00°, β = 90.09°, γ = 90.00°
Space group C2/m (No. 12)
Symmetry-distinct sites (fractional):
Pm1 0.0000 0.0000 0.0000
Ho1 0.1667 0.5000 0.3362
Pd1 0.1667 0.5000 0.8091

M_tot: 0.00 μB per formula unit
calculated formation energy: -634 meV/atom